A plane-wave DFT calculation with GGA-PBEsol was carried out for a relaxed HgTeIr2 crystal.

a b c (Å): 3.642 4.375 4.375
angles (deg): 90.00 90.00 90.00
Fractional positions:
1 Ir 0.000 0.000 0.500
2 Ir 0.000 0.500 0.000
3 Te 0.500 0.500 0.500
4 Hg 0.500 0.000 0.000

Results
formation energy (no corrections)	0.5696	eV/atom
D(E_F)	0.52	states/eV/atom
energy above the lowest structure with this stoichiometry	0.099	eV per atom